(1)
## K2YCuF6 (PBE)

Data for a relaxed K2YCuF6 crystal.

Unit cell a=8.8324 b=8.8324 c=8.8324 alpha=90.00 beta=90.00 gamma=90.00
Space group Fm-3m (No. 225)
Inequivalent atoms, fractional coordinates:
K (0.2500, 0.2500, 0.2500) x8
Y (0.0000, 0.0000, 0.0000) x4
Cu (0.0000, 0.0000, 0.5000) x4
F (0.0000, 0.0000, 0.2463) x24

Summary:
Energy above the most stable polymorph in this dataset in kJ/mol of atoms: 4.7
Formation energy without anion corrections in kJ/mol of formula units: -2783
Theoretical density in g/cm3: 3.322

***

(2)
## LaPmCd4 (PBE)

Data for a relaxed LaPmCd4 crystal.

Unit cell a=5.1281 b=6.9371 c=8.8428 alpha=90.00 beta=90.00 gamma=90.00
Space group Immm (No. 71)
Inequivalent atoms, fractional coordinates:
La (0.0000, 0.0000, 0.0000) x2
Pm (0.0000, 0.5000, 0.0000) x2
Cd (0.0000, 0.2483, 0.3333) x8

Summary:
ΔH_f (0 K) in eV per atom: -0.36
Energy above the most stable polymorph in this dataset in kJ/mol of atoms: 0.0
Theoretical density in g/cm3: 7.744

***

(3)
## LaAg2C (PBE)

Data for a relaxed LaAg2C crystal.

Unit cell a=5.0615 b=5.0615 c=14.0400 alpha=90.00 beta=90.00 gamma=90.00
Space group I-42d (No. 122)
Inequivalent atoms, fractional coordinates:
La (0.0000, 0.0000, 0.0000) x4
Ag (0.0566, 0.2500, 0.6250) x8
C (0.0000, 0.0000, 0.5000) x4

Summary:
ΔH_f (0 K) in eV per atom: 0.80
Theoretical density in g/cm3: 6.771

***

(4)
## Pu2Ag5Cl12 (PBE)

Data for a relaxed Pu2Ag5Cl12 crystal.

Unit cell a=14.2645 b=7.8036 c=9.9829 alpha=90.00 beta=105.76 gamma=90.00
Space group C2/m (No. 12)
Inequivalent atoms, fractional coordinates:
Pu (0.0000, 0.2501, 0.0000) x4
Ag (0.0000, 0.0000, 0.5000) x2
Ag (0.2109, 0.5000, 0.6886) x4
Ag (0.2292, 0.5000, 0.3997) x4
Cl (0.0501, 0.0000, 0.8475) x4
Cl (0.0510, 0.5000, 0.8454) x4
Cl (0.1306, 0.2438, 0.5251) x8
Cl (0.1787, 0.2531, 0.1634) x8

Summary:
Formation energy without anion corrections in kJ/mol of formula units: -1879
Theoretical density in g/cm3: 4.511

***

(5)
## SmPuGeSe (PBE)

Data for a relaxed SmPuGeSe crystal.

Unit cell a=4.1934 b=4.1934 c=20.5049 alpha=90.00 beta=90.00 gamma=120.00
Space group R3m (No. 160, hexagonal axes)
Inequivalent atoms, fractional coordinates:
Sm (0.0000, 0.0000, 0.0000) x3
Pu (0.0000, 0.0000, 0.5031) x3
Ge (0.0000, 0.0000, 0.2492) x3
Se (0.0000, 0.0000, 0.7541) x3

Summary:
Formation energy without anion corrections in kJ/mol of formula units: -439
Theoretical density in g/cm3: 8.710

***

(6)
## Mg2CoIr (PBE)

Data for a relaxed Mg2CoIr crystal.

Unit cell a=3.1327 b=4.5553 c=8.4441 alpha=90.00 beta=90.00 gamma=90.00
Space group Cmmm (No. 65)
Inequivalent atoms, fractional coordinates:
Mg (0.0000, 0.0000, 0.2452) x4
Co (0.0000, 0.5000, 0.0000) x2
Ir (0.0000, 0.5000, 0.5000) x2

Summary:
ΔH_f (0 K) in eV per atom: 0.05
Energy above the most stable polymorph in this dataset in kJ/mol of atoms: 13.6
Theoretical density in g/cm3: 8.262

***

(7)
## Li2Sn2Se5 (PBE)

Data for a relaxed Li2Sn2Se5 crystal.

Unit cell a=19.5401 b=3.8208 c=7.2118 alpha=90.00 beta=107.02 gamma=90.00
Space group C2/m (No. 12)
Inequivalent atoms, fractional coordinates:
Li (0.1099, 0.0000, 0.3345) x4
Sn (0.1025, 0.5000, 0.7419) x4
Se (0.0000, 0.0000, 0.5000) x2
Se (0.1373, 0.0000, 0.0024) x4
Se (0.1877, 0.5000, 0.5334) x4

Summary:
Energy above the most stable polymorph in this dataset in kJ/mol of atoms: 3.8
Formation energy without anion corrections in kJ/mol of formula units: -440
Theoretical density in g/cm3: 4.168

***

(8)
## RbSi3As (PBE)

Data for a relaxed RbSi3As crystal.

Unit cell a=5.4553 b=5.4553 c=5.4553 alpha=90.00 beta=90.00 gamma=90.00
Space group Pm-3m (No. 221)
Inequivalent atoms, fractional coordinates:
Rb (0.0000, 0.0000, 0.0000) x1
Si (0.0000, 0.0000, 0.5000) x3
As (0.5000, 0.5000, 0.5000) x1

Summary:
Energy above the most stable polymorph in this dataset in kJ/mol of atoms: 150.7
Formation energy without anion corrections in kJ/mol of formula units: 1162
Theoretical density in g/cm3: 2.502

***

Q: Among the records above, which one has the lowest theoretical density?
A: RbSi3As